# 1
A plane-wave DFT calculation with PBEsol was carried out for an optimized crystal structure of Y2MgP2.

Cell lengths 7.322, 7.322, 3.765 Å; angles 90.00, 90.00, 90.00 degrees
Space group P4/mbm (No. 127)
Symmetry-distinct sites (fractional):
Y  0.156  0.344  0.000 (multiplicity 4)
Mg  0.000  0.000  0.500 (multiplicity 2)
P  0.152  0.652  0.500 (multiplicity 4)

## Properties
Formation energy   -1233.0 meV per atom

***

# 2
A plane-wave DFT calculation with PBEsol was carried out for an optimized crystal structure of Mg2ZnP.

Cell lengths 4.281, 4.281, 3.708 Å; angles 90.00, 90.00, 90.00 degrees
Space group P4/mmm (No. 123)
Symmetry-distinct sites (fractional):
Mg  0.000  0.500  0.000 (multiplicity 2)
Zn  0.000  0.000  0.500 (multiplicity 1)
P  0.500  0.500  0.500 (multiplicity 1)

## Properties
Formation energy   -173.0 meV per atom
Polymorph energy (0 for the lowest one)   0 meV per atom

***

# 3
A plane-wave DFT calculation with PBEsol was carried out for an optimized crystal structure of Mg2ZnP.

Cell lengths 3.647, 3.647, 5.357 Å; angles 90.00, 90.00, 90.00 degrees
Space group P4mm (No. 99)
Symmetry-distinct sites (fractional):
Mg  0.000  0.000  0.000 (multiplicity 1)
Mg  0.500  0.500  0.321 (multiplicity 1)
Zn  0.500  0.500  0.798 (multiplicity 1)
P  0.000  0.000  0.507 (multiplicity 1)

## Properties
Formation energy   -63.9 meV per atom
Polymorph energy (0 for the lowest one)   109 meV per atom

***

# 4
A plane-wave DFT calculation with PBEsol was carried out for an optimized crystal structure of Mg2ZnP.

Cell lengths 6.569, 6.569, 6.569 Å; angles 90.00, 90.00, 90.00 degrees
Space group Fm-3m (No. 225)
Symmetry-distinct sites (fractional):
Mg  0.250  0.250  0.250 (multiplicity 8)
Zn  0.000  0.000  0.000 (multiplicity 4)
P  0.000  0.000  0.500 (multiplicity 4)

## Properties
Formation energy   -90.0 meV per atom
Polymorph energy (0 for the lowest one)   83 meV per atom

***

# 5
A plane-wave DFT calculation with PBEsol was carried out for an optimized crystal structure of Mg2ZnP2.

Cell lengths 4.574, 4.574, 9.243 Å; angles 90.00, 90.00, 90.00 degrees
Space group I4/mmm (No. 139)
Symmetry-distinct sites (fractional):
Mg  0.000  0.500  0.250 (multiplicity 4)
Zn  0.000  0.000  0.000 (multiplicity 2)
P  0.000  0.000  0.382 (multiplicity 4)

## Properties
Formation energy   -222.3 meV per atom

***

# 6
A plane-wave DFT calculation with PBEsol was carried out for an optimized crystal structure of MgZn3P.

Cell lengths 4.703, 4.703, 4.703 Å; angles 90.00, 90.00, 90.00 degrees
Space group Pm-3m (No. 221)
Symmetry-distinct sites (fractional):
Mg  0.000  0.000  0.000 (multiplicity 1)
Zn  0.000  0.500  0.500 (multiplicity 3)
P  0.500  0.500  0.500 (multiplicity 1)

## Properties
Formation energy   350.1 meV per atom

***

# 7
A plane-wave DFT calculation with PBEsol was carried out for an optimized crystal structure of Mg3ZnP.

Cell lengths 4.834, 4.834, 4.834 Å; angles 90.00, 90.00, 90.00 degrees
Space group Pm-3m (No. 221)
Symmetry-distinct sites (fractional):
Mg  0.000  0.000  0.500 (multiplicity 3)
Zn  0.000  0.000  0.000 (multiplicity 1)
P  0.500  0.500  0.500 (multiplicity 1)

## Properties
Formation energy   416.4 meV per atom
Polymorph energy (0 for the lowest one)   361 meV per atom

***

# 8
A plane-wave DFT calculation with PBEsol was carried out for an optimized crystal structure of Mg3ZnP.

Cell lengths 4.848, 4.848, 4.848 Å; angles 90.00, 90.00, 90.00 degrees
Space group Pm-3m (No. 221)
Symmetry-distinct sites (fractional):
Mg  0.000  0.000  0.500 (multiplicity 3)
Zn  0.500  0.500  0.500 (multiplicity 1)
P  0.000  0.000  0.000 (multiplicity 1)

## Properties
Formation energy   55.8 meV per atom
Polymorph energy (0 for the lowest one)   0 meV per atom

***

# 9
A plane-wave DFT calculation with PBEsol was carried out for an optimized crystal structure of Mg2ZnP.

Cell lengths 10.225, 3.048, 4.641 Å; angles 90.00, 107.13, 90.00 degrees
Space group Cm (No. 8)
Symmetry-distinct sites (fractional):
Mg  0.000  0.000  0.000 (multiplicity 2)
Mg  0.210  0.000  0.636 (multiplicity 2)
Zn  0.260  0.500  0.161 (multiplicity 2)
P  0.459  0.000  0.489 (multiplicity 2)

## Properties
Formation energy   -100.5 meV per atom
Polymorph energy (0 for the lowest one)   72 meV per atom

***

# 10
A plane-wave DFT calculation with PBEsol was carried out for an optimized crystal structure of MgZr2P.

Cell lengths 3.839, 4.930, 8.417 Å; angles 90.00, 90.00, 90.00 degrees
Space group Cmmm (No. 65)
Symmetry-distinct sites (fractional):
Mg  0.000  0.000  0.000 (multiplicity 2)
Zr  0.000  0.500  0.300 (multiplicity 4)
P  0.000  0.000  0.500 (multiplicity 2)

## Properties
Formation energy   -529.5 meV per atom

***

# 11
A plane-wave DFT calculation with PBEsol was carried out for an optimized crystal structure of MgZrP2.

Cell lengths 3.7249, 3.7249, 18.5051 Å; angles 90.00, 90.00, 120.00 degrees
Space group R-3m (No. 166, hexagonal axes)
Symmetry-distinct sites (fractional):
Mg  0.0000  0.0000  0.0000 (multiplicity 3)
Zr  0.0000  0.0000  0.5000 (multiplicity 3)
P  0.0000  0.0000  0.2486 (multiplicity 6)

## Properties
Formation energy   -924.0 meV per atom

***

# 12
A plane-wave DFT calculation with PBEsol was carried out for an optimized crystal structure of Mg2Pb.

Cell lengths 3.3772, 3.3772, 7.5723 Å; angles 90.00, 90.00, 120.00 degrees
Space group P-3m1 (No. 164)
Symmetry-distinct sites (fractional):
Mg  0.3333  0.6667  0.3366 (multiplicity 2)
Pb  0.0000  0.0000  0.0000 (multiplicity 1)

## Properties
Formation energy   -33.1 meV per atom

***

Q: The highest formation energy belongs to which entry?
A: number 7

***

Q: Look up the formation energy of the tenth one.
A: -529.5 meV per atom

***

Q: Which formula does entry 6 have?
A: MgZn3P